First-principles (GGA-PBE) data for a relaxed BeP2SBr crystal, as listed in Alexandria via LeMat-Bulk. Values from VASP.

## Properties
raw total energy = -3.363 eV/atom
crystal system = tetragonal
Fermi-level density of states = 0.750 states/eV/atom
symmetry = P4/mmm
raw formation energy = 0.71 eV/atom
energy relative to the lowest polymorph listed for this composition = 0 meV/atom

```
&SYSTEM
  ibrav = 0, nat = 5, ntyp = 4
/
ATOMIC_SPECIES
Be 9.01 Be.upf
P 30.97 P.upf
Br 79.90 Br.upf
S 32.06 S.upf
CELL_PARAMETERS angstrom
4.592 0.000 0.000
0.000 4.592 0.000
0.000 0.000 4.089
ATOMIC_POSITIONS angstrom
Be 0.000 0.000 0.000
P 2.296 0.000 0.000
P 0.000 2.296 0.000
Br 2.296 2.296 2.045
S 0.000 0.000 2.045
```

---

First-principles (GGA-PBE) data for a relaxed Np2OsC crystal, as listed in Alexandria via LeMat-Bulk. Values from VASP.

## Properties
raw total energy = -11.223 eV/atom
crystal system = tetragonal
Fermi-level density of states = 1.679 states/eV/atom
symmetry = P4/mmm
energy relative to the lowest polymorph listed for this composition = 0 meV/atom

```
&SYSTEM
  ibrav = 0, nat = 4, ntyp = 3
/
ATOMIC_SPECIES
Np 237.00 Np.upf
Os 190.23 Os.upf
C 12.01 C.upf
CELL_PARAMETERS angstrom
-2.400 1.340 -1.633
-0.766 -2.855 -1.216
-3.750 -0.994 4.696
ATOMIC_POSITIONS angstrom
Np -0.726 -0.192 0.909
Os -3.458 -1.255 0.923
C -1.583 -0.758 -1.424
Np -3.024 -0.802 3.787
```

---

First-principles (GGA-PBE) data for a relaxed Er2P2Rh5 crystal, as listed in Alexandria via LeMat-Bulk. Values from VASP.

## Properties
raw total energy = -7.316 eV/atom
crystal system = tetragonal
Fermi-level density of states = 0.488 states/eV/atom
symmetry = P4/mmm

```
&SYSTEM
  ibrav = 0, nat = 9, ntyp = 3
/
ATOMIC_SPECIES
Rh 102.91 Rh.upf
P 30.97 P.upf
Er 167.26 Er.upf
CELL_PARAMETERS angstrom
4.097 0.000 0.000
0.000 4.097 0.000
0.000 0.000 8.634
ATOMIC_POSITIONS angstrom
Rh 2.049 0.000 6.418
P 2.049 2.049 7.447
Rh 2.049 0.000 2.217
Rh 2.049 2.049 4.317
P 2.049 2.049 1.187
Rh 0.000 2.049 6.418
Er 0.000 0.000 0.000
Rh 0.000 2.049 2.217
Er 0.000 0.000 4.317
```

---

First-principles (GGA-PBE) data for a relaxed Mg2PtBr crystal, as listed in Alexandria via LeMat-Bulk. Values from VASP.

## Properties
raw total energy = -3.078 eV/atom
crystal system = tetragonal
Fermi-level density of states = 0.315 states/eV/atom
symmetry = I-4m2
raw formation energy = -0.35 eV/atom
energy relative to the lowest polymorph listed for this composition = 455 meV/atom

```
&SYSTEM
  ibrav = 0, nat = 4, ntyp = 3
/
ATOMIC_SPECIES
Mg 24.30 Mg.upf
Pt 195.08 Pt.upf
Br 79.90 Br.upf
CELL_PARAMETERS angstrom
-4.249 4.665 -0.269
-3.037 2.355 -5.012
1.650 -5.304 3.005
ATOMIC_POSITIONS angstrom
Mg -2.515 0.280 -2.324
Pt -3.643 3.510 -2.640
Mg 0.000 0.000 0.000
Br -3.121 1.435 0.048
```

---

Question: The lowest Fermi-level density of states belongs to which entry?
Answer: Mg2PtBr